VASP calculation (PBE) on a geometry-optimized CaHgBr structure.

abc: 10.5281 3.9942 8.5081
angles: 90.00 98.34 90.00
With the nearest neighbours (Å) after each atom.
Sites, in units of the cell vectors:
Ca: 0.0000 0.0000 0.0000  4 Br 3.09-3.38, 4 Hg 3.31-3.41
Ca: 0.2086 0.0000 0.5784  5 Br 3.04-3.14, 2 Hg 3.16
Ca: 0.5000 0.5000 0.0000  4 Br 3.09-3.38, 4 Hg 3.31-3.41
Ca: 0.7086 0.5000 0.5784  5 Br 3.04-3.14, 2 Hg 3.16
Hg: 0.1055 0.5000 0.3008  3 Hg 3.04-3.19, 4 Ca 3.16-3.31
Hg: 0.3164 0.0000 0.2012  3 Hg 3.04-3.19
Hg: 0.6055 0.0000 0.3008  3 Hg 3.04-3.19, 4 Ca 3.16-3.31
Hg: 0.8164 0.5000 0.2012  3 Hg 3.04-3.19
Br: 0.1833 0.5000 0.8569  5 Ca 3.14-3.38, 1 Br 3.43
Br: 0.4300 0.5000 0.6340  4 Ca 3.04-3.09
Br: 0.6833 0.0000 0.8569  5 Ca 3.14-3.38, 1 Br 3.43
Br: 0.9300 0.0000 0.6340  4 Ca 3.04-3.09

total DFT energy (no corrections): -2.371 eV/atom
uncorrected formation energy: -1.046 eV/atom
crystal system: monoclinic
SG: No. 8


VASP calculation (PBE) on a geometry-optimized Na3Dy3IrO8 structure.

abc: 6.7702 6.7702 6.7702
angles: 59.25 59.25 59.25
With the nearest neighbours (Å) after each atom.
Sites, in units of the cell vectors:
Na: 0.0000 0.5000 0.5000  6 O 2.49-2.52
Na: 0.5000 0.0000 0.5000  6 O 2.49-2.52
Na: 0.5000 0.5000 0.0000  6 O 2.49-2.52
Dy: 0.0000 0.0000 0.5000  6 O 2.26-2.31
Dy: 0.0000 0.5000 0.0000  6 O 2.26-2.31
Dy: 0.5000 0.0000 0.0000  6 O 2.26-2.31
Ir: 0.5000 0.5000 0.5000  6 O 2.10
O: 0.2366 0.2366 0.2366  3 Dy 2.26, 3 Na 2.52
O: 0.2611 0.7200 0.7200  1 Ir 2.10, 2 Dy 2.31
O: 0.2800 0.2800 0.7389  1 Ir 2.10, 2 Dy 2.31
O: 0.2800 0.7389 0.2800  1 Ir 2.10, 2 Dy 2.31
O: 0.7200 0.2611 0.7200  1 Ir 2.10, 2 Dy 2.31
O: 0.7200 0.7200 0.2611  1 Ir 2.10, 2 Dy 2.31
O: 0.7389 0.2800 0.2800  1 Ir 2.10, 2 Dy 2.31
O: 0.7634 0.7634 0.7634  3 Dy 2.26, 3 Na 2.52

total DFT energy (no corrections): -6.775 eV/atom
uncorrected formation energy: -2.355 eV/atom
crystal system: trigonal
SG: No. 166


VASP calculation (PBE) on a geometry-optimized NdSm2Hg2 structure.

abc: 5.2887 5.2887 6.4508
angles: 90.00 90.00 120.00
With the nearest neighbours (Å) after each atom.
Sites, in units of the cell vectors:
Nd: 0.0000 0.0000 0.0000  6 Hg 3.24
Sm: 0.3333 0.6667 0.6558  5 Hg 3.15-3.30
Sm: 0.6667 0.3333 0.3442  5 Hg 3.15-3.30
Hg: 0.3333 0.6667 0.1672  5 Sm 3.15-3.30, 3 Nd 3.24
Hg: 0.6667 0.3333 0.8328  5 Sm 3.15-3.30, 3 Nd 3.24

total DFT energy (no corrections): -3.204 eV/atom
DFT formation energy: -0.24 eV per atom
crystal system: trigonal
SG: No. 164


VASP calculation (PBE) on a geometry-optimized Ce2TePbO8 structure.

abc: 5.0972 5.0972 7.1889
angles: 90.00 90.00 90.35
With the nearest neighbours (Å) after each atom.
Sites, in units of the cell vectors:
Ce: 0.0000 0.0000 0.2479  6 O 2.20-2.40
Ce: 0.0000 0.0000 0.7521  6 O 2.20-2.40
Te: 0.5000 0.5000 0.0000  6 O 1.96-2.01
Pb: 0.5000 0.5000 0.5000  6 O 2.37-2.56
O: 0.1717 0.8283 0.5000  2 Ce 2.20, 1 Pb 2.37
O: 0.2221 0.7779 0.0000  1 Te 2.01
O: 0.3124 0.3124 0.1972  1 Te 1.96
O: 0.3124 0.3124 0.8028  1 Te 1.96
O: 0.6876 0.6876 0.1972  1 Te 1.96
O: 0.6876 0.6876 0.8028  1 Te 1.96
O: 0.7779 0.2221 0.0000  1 Te 2.01
O: 0.8283 0.1717 0.5000  2 Ce 2.20, 1 Pb 2.37

total DFT energy (no corrections): -7.033 eV/atom
uncorrected formation energy: -2.168 eV/atom
crystal system: orthorhombic
SG: No. 65


VASP calculation (PBE) on a geometry-optimized CeNd2ZrAs4 structure.

abc: 7.1741 4.1450 7.1928
angles: 90.00 109.24 90.00
With the nearest neighbours (Å) after each atom.
Sites, in units of the cell vectors:
Ce: 0.0000 0.0000 0.0000  6 As 2.91-2.92
Nd: 0.0000 0.5000 0.5000  6 As 3.04
Nd: 0.5000 0.0000 0.5000  6 As 2.96
Zr: 0.5000 0.5000 0.0000  6 As 2.82-2.84
As: 0.2555 0.5000 0.2369  1 Zr 2.82, 2 Ce 2.92, 3 Nd 2.96-3.04
As: 0.2650 0.0000 0.7691  2 Zr 2.84, 1 Ce 2.91, 3 Nd 2.96-3.04
As: 0.7350 0.0000 0.2309  2 Zr 2.84, 1 Ce 2.91, 3 Nd 2.96-3.04
As: 0.7445 0.5000 0.7631  1 Zr 2.82, 2 Ce 2.92, 3 Nd 2.96-3.04

total DFT energy (no corrections): -6.707 eV/atom
DFT formation energy: -1.38 eV per atom
crystal system: monoclinic
SG: No. 10


VASP calculation (PBE) on a geometry-optimized NbGa2S structure.

abc: 7.2495 7.2495 5.3318
angles: 90.00 90.00 90.00
With the nearest neighbours (Å) after each atom.
Sites, in units of the cell vectors:
Nb: 0.0000 0.0000 0.0000  2 S 2.67, 4 Ga 2.74
Nb: 0.0000 0.5000 0.2500  2 S 2.67, 4 Ga 2.74
Nb: 0.5000 0.0000 0.7500  2 S 2.67, 4 Ga 2.74
Nb: 0.5000 0.5000 0.5000  2 S 2.67, 4 Ga 2.74
Ga: 0.2324 0.7500 0.6250  2 S 2.56, 2 Ga 2.68, 2 Nb 2.74
Ga: 0.2500 0.2324 0.3750  2 S 2.56, 2 Ga 2.68, 2 Nb 2.74
Ga: 0.2500 0.2676 0.8750  2 S 2.56, 2 Ga 2.68, 2 Nb 2.74
Ga: 0.2676 0.7500 0.1250  2 S 2.56, 2 Ga 2.68, 2 Nb 2.74
Ga: 0.7324 0.2500 0.1250  2 S 2.56, 2 Ga 2.68, 2 Nb 2.74
Ga: 0.7500 0.7324 0.8750  2 S 2.56, 2 Ga 2.68, 2 Nb 2.74
Ga: 0.7500 0.7676 0.3750  2 S 2.56, 2 Ga 2.68, 2 Nb 2.74
Ga: 0.7676 0.2500 0.6250  2 S 2.56, 2 Ga 2.68, 2 Nb 2.74
S: 0.0000 0.0000 0.5000  4 Ga 2.56, 2 Nb 2.67
S: 0.0000 0.5000 0.7500  4 Ga 2.56, 2 Nb 2.67
S: 0.5000 0.0000 0.2500  4 Ga 2.56, 2 Nb 2.67
S: 0.5000 0.5000 0.0000  4 Ga 2.56, 2 Nb 2.67

total DFT energy (no corrections): -4.958 eV/atom
uncorrected formation energy: 0.105 eV/atom
crystal system: tetragonal
SG: No. 122


VASP calculation (PBE) on a geometry-optimized SrLiCu2 structure.

abc: 4.7811 4.7811 3.7976
angles: 90.00 90.00 90.00
With the nearest neighbours (Å) after each atom.
Sites, in units of the cell vectors:
Sr: 0.0000 0.0000 0.0000  8 Cu 3.05, 4 Li 3.38
Li: 0.5000 0.5000 0.0000  8 Cu 3.05, 4 Sr 3.38
Cu: 0.0000 0.5000 0.5000  4 Li 3.05, 4 Sr 3.05, 4 Cu 3.38
Cu: 0.5000 0.0000 0.5000  4 Li 3.05, 4 Sr 3.05, 4 Cu 3.38

total DFT energy (no corrections): -2.777 eV/atom
DFT formation energy: 0.17 eV per atom
crystal system: tetragonal
SG: No. 123


VASP calculation (PBE) on a geometry-optimized FeTeOs structure.

abc: 3.1579 3.8624 7.9876
angles: 90.00 90.00 90.00
With the nearest neighbours (Å) after each atom.
Sites, in units of the cell vectors:
Fe: 0.0000 0.0000 0.0000  1 Te 2.55, 5 Os 2.77-2.78
Fe: 0.5000 0.5000 0.5000  1 Te 2.55, 5 Os 2.77-2.78
Te: 0.0000 0.0000 0.6806  1 Fe 2.55, 5 Os 2.67-2.82
Te: 0.5000 0.5000 0.1806  1 Fe 2.55, 5 Os 2.67-2.82
Os: 0.0000 0.0000 0.3464  5 Te 2.67-2.82, 5 Fe 2.77-2.78
Os: 0.5000 0.5000 0.8464  5 Te 2.67-2.82, 5 Fe 2.77-2.78

total DFT energy (no corrections): -6.948 eV/atom
uncorrected formation energy: 0.663 eV/atom
crystal system: orthorhombic
SG: No. 44


VASP calculation (PBE) on a geometry-optimized In2ReSi structure.

abc: 3.2738 5.0302 9.7694
angles: 90.00 90.00 90.00
With the nearest neighbours (Å) after each atom.
Sites, in units of the cell vectors:
In: 0.0000 0.0000 0.0000  6 In 3.00-3.27, 2 Si 3.09
In: 0.0000 0.5000 0.3125  2 Re 2.88, 4 In 3.00
In: 0.5000 0.0000 0.3125  2 Re 2.88, 4 In 3.00
In: 0.5000 0.5000 0.0000  6 In 3.00-3.27, 2 Si 3.09
Re: 0.0000 0.0000 0.5545  2 Si 2.39
Re: 0.5000 0.5000 0.5545  2 Si 2.39
Si: 0.0000 0.5000 0.7322  2 Re 2.39
Si: 0.5000 0.0000 0.7322  2 Re 2.39

total DFT energy (no corrections): -5.421 eV/atom
uncorrected formation energy: 0.416 eV/atom
crystal system: orthorhombic
SG: No. 35


VASP calculation (PBE) on a geometry-optimized RbAcCu2As2 structure.

abc: 4.3203 4.3203 9.5712
angles: 90.00 90.00 120.00
With the nearest neighbours (Å) after each atom.
Sites, in units of the cell vectors:
Rb: 0.0000 0.0000 0.0000  6 Cu 3.65, 6 As 3.68
Ac: 0.0000 0.0000 0.5000  6 As 3.24, 6 Cu 3.28
Cu: 0.3333 0.6667 0.2778  3 As 2.49
Cu: 0.6667 0.3333 0.7222  3 As 2.49
As: 0.3333 0.6667 0.7167  3 Cu 2.49
As: 0.6667 0.3333 0.2833  3 Cu 2.49

total DFT energy (no corrections): -4.408 eV/atom
DFT formation energy: -0.65 eV per atom
crystal system: trigonal
SG: No. 164


VASP calculation (PBE) on a geometry-optimized Ti3VSe8 structure.

abc: 6.9732 6.9732 7.9805
angles: 116.29 116.29 59.97
With the nearest neighbours (Å) after each atom.
Sites, in units of the cell vectors:
Ti: 0.0000 0.0000 0.0000  6 Se 2.56
Ti: 0.0000 0.5000 0.0000  6 Se 2.56
Ti: 0.5000 0.0000 0.0000  6 Se 2.56
V: 0.5000 0.5000 0.0000  6 Se 2.52-2.53
Se: 0.2444 0.2444 0.2302  3 Ti 2.56
Se: 0.2480 0.7412 0.2273  1 V 2.52, 2 Ti 2.56
Se: 0.2587 0.2587 0.7726  1 V 2.53, 2 Ti 2.56
Se: 0.2588 0.7520 0.7727  1 V 2.52, 2 Ti 2.56
Se: 0.7412 0.2480 0.2273  1 V 2.52, 2 Ti 2.56
Se: 0.7413 0.7413 0.2274  1 V 2.53, 2 Ti 2.56
Se: 0.7520 0.2588 0.7727  1 V 2.52, 2 Ti 2.56
Se: 0.7556 0.7556 0.7698  3 Ti 2.56

total DFT energy (no corrections): -6.057 eV/atom
uncorrected formation energy: -1.001 eV/atom
crystal system: monoclinic
SG: No. 12


VASP calculation (PBE) on a geometry-optimized Mn2AgAs structure.

abc: 6.3264 6.3264 6.3264
angles: 90.00 90.00 90.00
With the nearest neighbours (Å) after each atom.
Sites, in units of the cell vectors:
Mn: 0.0000 0.0000 0.0000  4 Mn 2.74, 4 Ag 2.74
Mn: 0.0000 0.5000 0.5000  4 Mn 2.74, 4 Ag 2.74
Mn: 0.2500 0.2500 0.2500  4 As 2.74, 4 Mn 2.74
Mn: 0.2500 0.7500 0.7500  4 As 2.74, 4 Mn 2.74
Mn: 0.5000 0.0000 0.5000  4 Mn 2.74, 4 Ag 2.74
Mn: 0.5000 0.5000 0.0000  4 Mn 2.74, 4 Ag 2.74
Mn: 0.7500 0.2500 0.7500  4 As 2.74, 4 Mn 2.74
Mn: 0.7500 0.7500 0.2500  4 As 2.74, 4 Mn 2.74
Ag: 0.2500 0.2500 0.7500  4 Mn 2.74, 4 As 2.74
Ag: 0.2500 0.7500 0.2500  4 Mn 2.74, 4 As 2.74
Ag: 0.7500 0.2500 0.2500  4 Mn 2.74, 4 As 2.74
Ag: 0.7500 0.7500 0.7500  4 Mn 2.74, 4 As 2.74
As: 0.0000 0.0000 0.5000  4 Ag 2.74, 4 Mn 2.74
As: 0.0000 0.5000 0.0000  4 Ag 2.74, 4 Mn 2.74
As: 0.5000 0.0000 0.0000  4 Ag 2.74, 4 Mn 2.74
As: 0.5000 0.5000 0.5000  4 Ag 2.74, 4 Mn 2.74

total DFT energy (no corrections): -6.014 eV/atom
DFT formation energy: 0.45 eV per atom
crystal system: cubic
SG: No. 216